(1)
VASP calculation (PBE-GGA) on MgSi2Rh after structural relaxation.

Computed properties:
- Total magnetization: 0.00 μB/f.u.
- ΔE_f (raw): -252 meV per atom
- Raw total energy: -20.80 eV/f.u.

Cell: 4.5129 4.5129 4.8568 Å, 80.38 80.38 39.24°
Fractional coordinates of all 4 atoms:
1 Si 0.7409 0.7409 0.7964
2 Si 0.9934 0.9934 0.0171
3 Rh 0.2612 0.2612 0.1846
4 Mg 0.5045 0.5045 0.5020

---

(2)
VASP calculation (PBE-GGA) on Li2In3 after structural relaxation.

Computed properties:
- Total magnetization: 0.00 μB/f.u.
- Raw total energy: -13.04 eV/f.u.
- Energy relative to the lowest polymorph listed for this composition: 8 meV/atom
- Formation energy: -199 meV per atom

Cell: 4.3915 5.2894 5.6061 Å, 80.65 66.94 65.47°
Fractional coordinates of all 5 atoms:
1 In 0.1992 0.7111 0.8906
2 In 0.8008 0.2889 0.1094
3 In 0.0000 0.5000 0.5000
4 Li 0.5991 0.1108 0.6909
5 Li 0.4009 0.8892 0.3091

---

Q: Which of these has the lowest raw total energy?
A: MgSi2Rh